# 1
Sr3Mg2In9, optimized geometry, DFT PBE-GGA; SG = Immm
1.0
-2.4395 5.6249 7.1846
2.4395 -5.6249 7.1846
2.4395 5.6249 -7.1846
Sr Mg In
3 2 9
direct
0.0000 0.0000 0.0000
0.3006 0.3006 0.0000
0.6994 0.6994 0.0000
0.3131 0.5000 0.8131
0.6869 0.5000 0.1869
0.0226 0.6542 0.3684
0.1398 0.8569 0.2830
0.2858 0.6542 0.6316
0.4261 0.1431 0.2830
0.5000 0.0000 0.5000
0.5739 0.8569 0.7170
0.7142 0.3458 0.3684
0.8602 0.1431 0.7170
0.9774 0.3458 0.6316

=====

# 2
SrMg4In15, optimized geometry, DFT PBE-GGA; SG = P4/mmm
1.0
4.6816 0.0000 0.0000
0.0000 4.6816 0.0000
0.0000 0.0000 23.5123
Sr Mg In
1 4 15
direct
0.0000 0.0000 0.0000
0.0000 0.0000 0.2034
0.0000 0.0000 0.4007
0.0000 0.0000 0.5993
0.0000 0.0000 0.7966
0.0000 0.5000 0.1083
0.0000 0.5000 0.3033
0.0000 0.5000 0.5000
0.0000 0.5000 0.6967
0.0000 0.5000 0.8917
0.5000 0.0000 0.1083
0.5000 0.0000 0.3033
0.5000 0.0000 0.5000
0.5000 0.0000 0.6967
0.5000 0.0000 0.8917
0.5000 0.5000 0.0000
0.5000 0.5000 0.2060
0.5000 0.5000 0.4026
0.5000 0.5000 0.5974
0.5000 0.5000 0.7940

=====

# 3
SrMg3In, optimized geometry, DFT PBE-GGA; SG = Pm
1.0
7.8194 0.0000 0.0000
0.0000 4.6818 0.0000
-2.2974 0.0000 7.8768
Sr Mg In
2 6 2
direct
0.0000 0.0000 0.0000
0.3841 0.5000 0.3545
0.1103 0.0000 0.5407
0.2743 0.5000 0.8156
0.5128 0.0000 0.0666
0.5263 0.0000 0.6988
0.8584 0.5000 0.6558
0.8720 0.5000 0.2883
0.6675 0.5000 0.9229
0.7170 0.0000 0.4317

=====

# 4
Sr2MgIn, optimized geometry, DFT PBE-GGA; SG = I-42d
1.0
9.2187 0.0000 0.0000
0.0000 9.2187 0.0000
0.0000 0.0000 7.4406
Sr Mg In
8 4 4
direct
0.2383 0.2500 0.1250
0.2500 0.7383 0.3750
0.2500 0.7617 0.8750
0.2617 0.2500 0.6250
0.7383 0.7500 0.6250
0.7500 0.2383 0.8750
0.7500 0.2617 0.3750
0.7617 0.7500 0.1250
0.0000 0.0000 0.5000
0.0000 0.5000 0.7500
0.5000 0.0000 0.2500
0.5000 0.5000 0.0000
0.0000 0.0000 0.0000
0.0000 0.5000 0.2500
0.5000 0.0000 0.7500
0.5000 0.5000 0.5000

=====

# 5
Sr2MgIn, optimized geometry, DFT PBE-GGA; SG = Fm-3m
1.0
8.2124 0.0000 0.0000
0.0000 8.2124 0.0000
0.0000 0.0000 8.2124
Sr Mg In
8 4 4
direct
0.2500 0.2500 0.2500
0.2500 0.2500 0.7500
0.2500 0.7500 0.2500
0.2500 0.7500 0.7500
0.7500 0.2500 0.2500
0.7500 0.2500 0.7500
0.7500 0.7500 0.2500
0.7500 0.7500 0.7500
0.0000 0.0000 0.0000
0.0000 0.5000 0.5000
0.5000 0.0000 0.5000
0.5000 0.5000 0.0000
0.0000 0.0000 0.5000
0.0000 0.5000 0.0000
0.5000 0.0000 0.0000
0.5000 0.5000 0.5000

=====

# 6
SrMgIn6, optimized geometry, DFT PBE-GGA; SG = Amm2
1.0
4.9669 0.0000 0.0000
0.0000 7.6355 0.0000
0.0000 0.0000 11.6245
Sr Mg In
2 2 12
direct
0.0000 0.0000 0.0000
0.0000 0.5000 0.5000
0.5000 0.0000 0.7397
0.5000 0.5000 0.2397
0.0000 0.0000 0.5525
0.0000 0.2348 0.2626
0.0000 0.2652 0.7626
0.0000 0.5000 0.0525
0.0000 0.7348 0.7626
0.0000 0.7652 0.2626
0.5000 0.0000 0.1964
0.5000 0.2054 0.4493
0.5000 0.2946 0.9493
0.5000 0.5000 0.6964
0.5000 0.7054 0.9493
0.5000 0.7946 0.4493

=====

# 7
SrMg4In2, optimized geometry, DFT PBE-GGA; SG = R-3m
1.0
2.4924 1.4390 8.7173
-2.4924 1.4390 8.7173
0.0000 -2.8780 8.7173
Sr Mg In
1 4 2
direct
0.0000 0.0000 0.0000
0.1396 0.1396 0.1396
0.4303 0.4303 0.4303
0.5697 0.5697 0.5697
0.8604 0.8604 0.8604
0.2555 0.2555 0.2555
0.7445 0.7445 0.7445

=====

# 8
Sr2MgIn, optimized geometry, DFT PBE-GGA; SG = C2/m
1.0
10.9503 0.0000 0.0000
0.0000 3.9350 0.0000
-1.3852 0.0000 7.0950
Sr Mg In
4 2 2
direct
0.2463 0.0000 0.2399
0.2537 0.5000 0.7601
0.7463 0.5000 0.2399
0.7537 0.0000 0.7601
0.0000 0.0000 0.5000
0.5000 0.5000 0.5000
0.0000 0.5000 0.0000
0.5000 0.0000 0.0000

=====

Number 1: VASP energy -2.6727 eV per atom, formation enthalpy at 0 K -0.32 eV/atom. Number 2: VASP energy -2.5439 eV per atom, formation enthalpy at 0 K -0.09 eV/atom. Number 3: VASP energy -1.9930 eV per atom, formation enthalpy at 0 K -0.15 eV/atom. Number 4: VASP energy -1.8517 eV per atom, formation enthalpy at 0 K 0.07 eV/atom. Number 5: VASP energy -2.1952 eV per atom, formation enthalpy at 0 K -0.27 eV/atom. Number 6: VASP energy -2.6094 eV per atom, formation enthalpy at 0 K -0.15 eV/atom. Number 7: VASP energy -2.1254 eV per atom, formation enthalpy at 0 K -0.19 eV/atom. Number 8: VASP energy -1.9753 eV per atom, formation enthalpy at 0 K -0.05 eV/atom.